[1]
CaY2Ag2 | Alexandria | GGA-PBE | optimized geometry; magnetization = 0.00 μB per cell; uncorrected energy = -4.027 eV per atom
1.0
-1.162 1.494 4.039
-3.940 -2.057 -0.373
0.384 -6.472 4.967
Y Ag Ca
2 2 1
direct
0.380 0.380 0.240
0.620 0.620 0.760
0.250 0.750 0.500
0.750 0.250 0.500
0.000 0.000 0.000

***

[2]
CaY2Ag | Alexandria | GGA-PBE | optimized geometry; magnetization = 0.00 μB per cell; uncorrected energy = -4.521 eV per atom
1.0
3.639 -0.002 0.000
0.003 3.639 0.000
0.000 0.000 9.369
Y Ca Ag
2 1 1
direct
0.000 0.000 0.060
0.000 0.000 0.440
0.500 0.500 0.750
0.500 0.500 0.250

***

[3]
CaY2Ag | Alexandria | GGA-PBE | optimized geometry; magnetization = 0.00 μB per cell; uncorrected energy = -4.340 eV per atom
1.0
-5.339 -3.657 -1.005
4.626 -2.883 2.549
-1.310 -0.233 3.203
Y Ca Ag
2 1 1
direct
0.000 0.000 0.000
0.000 0.500 0.500
0.500 0.000 0.500
0.500 0.500 0.000

***

[4]
CaYZnAg | Alexandria | GGA-PBE | optimized geometry; magnetization = 0.00 μB per cell; uncorrected energy = -3.437 eV per atom
1.0
5.148 0.000 0.000
2.574 4.459 0.000
2.574 1.486 4.204
Zn Y Ag Ca
1 1 1 1
direct
0.000 0.000 0.000
0.750 0.750 0.750
0.500 0.500 0.500
0.250 0.250 0.250

***

Which formula does entry 2 have?
CaY2Ag

***

magnetization of number 4 (CaYZnAg)?
0.00 μB per cell

***

magnetization of number 1 (CaY2Ag2)?
0.00 μB per cell